Record 1
# AlIr2Ru | the Alexandria database | GGA-PBEsol | relaxed
# Magnetic moment (μB per formula unit): 0.00
# Formation energy (eV/atom): -0.24
data_AlIr2Ru
_cell_length_a 2.721
_cell_length_b 4.017
_cell_length_c 5.171
_cell_angle_alpha 90.00
_cell_angle_beta 102.20
_cell_angle_gamma 90.00
_symmetry_space_group_name_H-M 'P 1 2/m 1'
_symmetry_Int_Tables_number 10
_symmetry_space_group_name_Hall '-P 2y'
loop_
_atom_site_label
_atom_site_type_symbol
_atom_site_fract_x
_atom_site_fract_y
_atom_site_fract_z
Al1 Al 0.000 0.000 0.000
Ir1 Ir 0.389 0.500 0.246
Ru1 Ru 0.000 0.000 0.500

Record 2
# AlIr2Ru | the Alexandria database | GGA-PBEsol | relaxed
# Magnetic moment (μB per formula unit): 0.00
# Formation energy (eV/atom): -0.20
data_AlIr2Ru
_cell_length_a 2.846
_cell_length_b 4.381
_cell_length_c 8.814
_cell_angle_alpha 90.00
_cell_angle_beta 90.00
_cell_angle_gamma 90.00
_symmetry_space_group_name_H-M 'I m m m'
_symmetry_Int_Tables_number 71
_symmetry_space_group_name_Hall '-I 2 2'
loop_
_atom_site_label
_atom_site_type_symbol
_atom_site_fract_x
_atom_site_fract_y
_atom_site_fract_z
Al1 Al 0.000 0.000 0.000
Ir1 Ir 0.000 0.500 0.272
Ru1 Ru 0.000 0.000 0.500

Record 3
# Al2IrS | the Alexandria database | GGA-PBEsol | relaxed
# Magnetic moment (μB per formula unit): 0.00
# E_form (uncorrected) (eV/atom): -0.5477
data_Al2IrS
_cell_length_a 6.112
_cell_length_b 7.814
_cell_length_c 5.717
_cell_angle_alpha 90.00
_cell_angle_beta 115.22
_cell_angle_gamma 90.00
_symmetry_space_group_name_H-M 'C 1 c 1'
_symmetry_Int_Tables_number 9
_symmetry_space_group_name_Hall 'C -2yc'
loop_
_atom_site_label
_atom_site_type_symbol
_atom_site_fract_x
_atom_site_fract_y
_atom_site_fract_z
Al1 Al 0.000 0.112 0.000
Al2 Al 0.029 0.277 0.588
Ir1 Ir 0.180 0.424 0.019
S1 S 0.272 0.095 0.460

Record 4
# Sc3AlIr | the Alexandria database | GGA-PBEsol | relaxed
# Magnetic moment (μB per formula unit): 0.00
# Formation energy (eV/atom): -0.15
data_Sc3AlIr
_cell_length_a 4.945
_cell_length_b 4.945
_cell_length_c 4.945
_cell_angle_alpha 90.00
_cell_angle_beta 90.00
_cell_angle_gamma 90.00
_symmetry_space_group_name_H-M 'P m -3 m'
_symmetry_Int_Tables_number 221
_symmetry_space_group_name_Hall '-P 4 2 3'
loop_
_atom_site_label
_atom_site_type_symbol
_atom_site_fract_x
_atom_site_fract_y
_atom_site_fract_z
Sc1 Sc 0.000 0.000 0.500
Al1 Al 0.500 0.500 0.500
Ir1 Ir 0.000 0.000 0.000

Record 5
# ScAlIr2 | the Alexandria database | GGA-PBEsol | relaxed
# Magnetic moment (μB per formula unit): 0.00
# Formation energy (eV/atom): -0.97
data_ScAlIr2
_cell_length_a 3.100
_cell_length_b 3.100
_cell_length_c 6.142
_cell_angle_alpha 90.00
_cell_angle_beta 90.00
_cell_angle_gamma 90.00
_symmetry_space_group_name_H-M 'P 4/m m m'
_symmetry_Int_Tables_number 123
_symmetry_space_group_name_Hall '-P 4 2'
loop_
_atom_site_label
_atom_site_type_symbol
_atom_site_fract_x
_atom_site_fract_y
_atom_site_fract_z
Sc1 Sc 0.000 0.000 0.000
Al1 Al 0.000 0.000 0.500
Ir1 Ir 0.500 0.500 0.265

Record 6
# ScAlIr2 | the Alexandria database | GGA-PBEsol | relaxed
# Magnetic moment (μB per formula unit): 0.00
# Formation energy (eV/atom): -0.99
data_ScAlIr2
_cell_length_a 6.172
_cell_length_b 6.172
_cell_length_c 6.172
_cell_angle_alpha 90.00
_cell_angle_beta 90.00
_cell_angle_gamma 90.00
_symmetry_space_group_name_H-M 'F m -3 m'
_symmetry_Int_Tables_number 225
_symmetry_space_group_name_Hall '-F 4 2 3'
loop_
_atom_site_label
_atom_site_type_symbol
_atom_site_fract_x
_atom_site_fract_y
_atom_site_fract_z
Sc1 Sc 0.000 0.000 0.000
Al1 Al 0.000 0.000 0.500
Ir1 Ir 0.250 0.250 0.250

Record 7
# Al2SiIr | the Alexandria database | GGA-PBEsol | relaxed
# ΔE to the lowest computed polymorph (meV per atom): 86.6
# Magnetic moment (μB per formula unit): 0.00
# E_form (uncorrected) (eV/atom): -0.1873
data_Al2SiIr
_cell_length_a 6.092
_cell_length_b 6.092
_cell_length_c 6.092
_cell_angle_alpha 90.00
_cell_angle_beta 90.00
_cell_angle_gamma 90.00
_symmetry_space_group_name_H-M 'F -4 3 m'
_symmetry_Int_Tables_number 216
_symmetry_space_group_name_Hall 'F -4 2 3'
loop_
_atom_site_label
_atom_site_type_symbol
_atom_site_fract_x
_atom_site_fract_y
_atom_site_fract_z
Al1 Al 0.000 0.000 0.000
Al2 Al 0.250 0.250 0.250
Si1 Si 0.250 0.250 0.750
Ir1 Ir 0.000 0.000 0.500

Record 8
# AlSi2Ir2 | the Alexandria database | GGA-PBEsol | relaxed
# Magnetic moment (μB per formula unit): 0.00
# E_form (uncorrected) (eV/atom): -0.3744
data_AlSi2Ir2
_cell_length_a 4.069
_cell_length_b 4.069
_cell_length_c 9.328
_cell_angle_alpha 90.00
_cell_angle_beta 90.00
_cell_angle_gamma 90.00
_symmetry_space_group_name_H-M 'I 4/m m m'
_symmetry_Int_Tables_number 139
_symmetry_space_group_name_Hall '-I 4 2'
loop_
_atom_site_label
_atom_site_type_symbol
_atom_site_fract_x
_atom_site_fract_y
_atom_site_fract_z
Al1 Al 0.000 0.000 0.000
Si1 Si 0.000 0.000 0.380
Ir1 Ir 0.000 0.500 0.250

> Which value of magnetic moment does entry 1 give?

0.00 μB per formula unit

What did the seventh record say?
# Al2SiIr | the Alexandria database | GGA-PBEsol | relaxed
# ΔE to the lowest computed polymorph (meV per atom): 86.6
# Magnetic moment (μB per formula unit): 0.00
# E_form (uncorrected) (eV/atom): -0.1873
data_Al2SiIr
_cell_length_a 6.092
_cell_length_b 6.092
_cell_length_c 6.092
_cell_angle_alpha 90.00
_cell_angle_beta 90.00
_cell_angle_gamma 90.00
_symmetry_space_group_name_H-M 'F -4 3 m'
_symmetry_Int_Tables_number 216
_symmetry_space_group_name_Hall 'F -4 2 3'
loop_
_atom_site_label
_atom_site_type_symbol
_atom_site_fract_x
_atom_site_fract_y
_atom_site_fract_z
Al1 Al 0.000 0.000 0.000
Al2 Al 0.250 0.250 0.250
Si1 Si 0.250 0.250 0.750
Ir1 Ir 0.000 0.000 0.500